a) Material: Mn2ZnHAu
Method: DFT, PBE
State: optimized geometry

Cell: 3.8242 3.8242 4.1235 Å, 90.00 90.00 90.00°
Space group P4/mmm (No. 123)
Asymmetric unit:
Mn1 0.0000 0.5000 0.0000 (multiplicity 2)
Zn1 0.0000 0.0000 0.5000 (multiplicity 1)
H1 0.0000 0.0000 0.0000 (multiplicity 1)
Au1 0.5000 0.5000 0.5000 (multiplicity 1)

Summary:
- DOS(E_F) (states/eV/cell) = 3.19

***

b) Material: Mn2ZnHAu
Method: DFT, PBE
State: optimized geometry

Cell: 3.8653 3.8653 4.0731 Å, 90.00 90.00 90.00°
Space group P4/mmm (No. 123)
Asymmetric unit:
Mn1 0.0000 0.5000 0.0000 (multiplicity 2)
Zn1 0.0000 0.0000 0.5000 (multiplicity 1)
H1 0.5000 0.5000 0.0000 (multiplicity 1)
Au1 0.5000 0.5000 0.5000 (multiplicity 1)

Summary:
- DOS(E_F) (states/eV/cell) = 2.92

***

The least stable of them is b).